Computed, not measured: a relaxed structure of Y2AlIr at the PBE-GGA level of DFT.

The calculation puts the final energy at -6.53 eV per atom. As for the volume: 97.1 Å³/f.u. The density of states at the Fermi level comes out at 6.8 states/eV per cell. The calculation puts the total magnetization at 0.00 μB per formula unit. The formation enthalpy at 0 K is -0.147 eV per atom.

The structure belongs to space group I-42d (No. 122); the cell edges are 8.0078, 8.0078 and 6.0596 Å and the angles 90.00°, 90.00° and 90.00°. The inequivalent atoms are Y at (0.2024, 0.7500, 0.1250), Al at (0.0000, 0.0000, 0.5000) and Ir at (0.0000, 0.0000, 0.0000).